Density functional theory data (PBE-GGA) for a geometry-optimized LiNiCl2 structure.

The structure belongs to space group Imm2 (No. 44); the cell edges are 3.3391, 3.3406 and 15.6561 Å and the angles 90.00°, 90.00° and 90.00°. The inequivalent atoms are Li at (0.0000, 0.0000, 0.0000), Ni at (0.0000, 0.5000, 0.7690), Cl at (0.0000, 0.0000, 0.4994) and Cl at (0.0000, 0.5000, 0.2574).

The density of states at the Fermi level is 3.81 states/eV/f.u. For the energy relative to the elements, uncorrected, the calculation gives -74 kJ/mol of atoms. The excess energy over the best structure of this formula in the dataset comes out at 122 meV/atom.


Density functional theory data (PBE-GGA) for a geometry-optimized B2C3 structure.

The structure belongs to space group C2/m (No. 12); the cell edges are 8.8010, 2.5613 and 7.7189 Å and the angles 90.00°, 119.27° and 90.00°. The inequivalent atoms are B at (0.1293, 0.0000, 0.1991), B at (0.1769, 0.5000, 0.9158), C at (0.0153, 0.5000, 0.1112), C at (0.0826, 0.0000, 0.5843) and C at (0.1686, 0.5000, 0.6774).

The density of states at the Fermi level is 0.59 states/eV/f.u. The excess energy over the best structure of this formula in the dataset comes out at 66 meV/atom. The formation enthalpy at 0 K comes out at 0.30 eV/atom.


Density functional theory data (PBE-GGA) for a geometry-optimized PmSn3Te6 structure.

The structure belongs to space group P2_1/m (No. 11); the cell edges are 12.8839, 4.3293 and 12.9894 Å and the angles 90.00°, 112.80° and 90.00°. The inequivalent atoms are Pm at (0.2101, 0.2500, 0.0529), Sn at (0.0511, 0.7500, 0.2950), Sn at (0.3487, 0.2500, 0.4626), Sn at (0.3816, 0.7500, 0.8361), Te at (0.0241, 0.7500, 0.9022), Te at (0.1195, 0.2500, 0.4698), Te at (0.2140, 0.2500, 0.7990), Te at (0.2581, 0.7500, 0.2504), Te at (0.4053, 0.7500, 0.0719) and Te at (0.4490, 0.7500, 0.6330).

The density of states at the Fermi level is 4.12 states/eV/f.u. For the energy relative to the elements, uncorrected, the calculation gives -47 kJ/mol of atoms.